The following is a DFT calculation (PBE-GGA) of crystalline Tl4Se2Br at its relaxed geometry.

Lattice parameters (Å, degrees): 8.4208 8.4643 8.6168 103.26 108.37 114.57
With the nearest neighbours (Å) after each atom.
Fractional positions:
Tl (0.0000, 0.0000, 0.0000)  3 Se 2.66-2.70, 1 Br 2.90
Tl (0.0036, 0.4231, 0.4635)  3 Se 3.01-3.32, 1 Br 3.20
Tl (0.1361, 0.0764, 0.6224)  3 Se 3.18-3.24, 1 Br 3.42
Tl (0.2511, 0.5675, 0.0110)  3 Se 3.12-3.32, 1 Br 3.37
Tl (0.4954, 0.9427, 0.8755)  3 Se 3.20-3.34
Tl (0.5800, 0.2798, 0.5697)  3 Se 3.16-3.28, 1 Br 3.24
Tl (0.6064, 0.7154, 0.4931)  3 Se 3.14-3.48, 2 Br 3.28-3.48
Tl (0.7560, 0.5611, 0.0473)  3 Se 3.14-3.44, 1 Br 3.46
Se (0.4084, 0.5197, 0.7045)  7 Tl 3.01-3.32
Se (0.8440, 0.9755, 0.2252)  1 Tl 2.66
Se (0.8710, 0.1592, 0.7927)  1 Tl 2.70
Se (0.9834, 0.6979, 0.7913)  1 Tl 2.69
Br (0.2337, 0.7783, 0.3830)  6 Tl 3.20-3.57
Br (0.4227, 0.2678, 0.1697)  2 Tl 2.90-3.24

The total moment is 0.0 μB/cell. The calculation puts the uncorrected energy at -3.04 eV per atom.